# PBE with a Hubbard U Mn3Se4O2, relaxed
# VASP energy   -5.416 eV/atom
# Total magnetic moment   9.24 μB/f.u.
data_Mn3Se4O2
_chemical_formula_sum 'Mn3 Se4 O2'
_symmetry_space_group_name_H-M 'P -6 m 2'
_symmetry_Int_Tables_number 187
_symmetry_space_group_name_Hall 'P -6 2'
_cell_length_a 3.3644
_cell_length_b 3.3644
_cell_length_c 20.9765
_cell_angle_alpha 90.00
_cell_angle_beta 90.00
_cell_angle_gamma 120.00
loop_
_atom_site_label
_atom_site_type_symbol
_atom_site_fract_x
_atom_site_fract_y
_atom_site_fract_z
_atom_site_occupancy
Mn1 Mn 0.0000 0.0000 0.0000 1
Mn2 Mn 0.3333 0.6667 0.2638 1
Se1 Se 0.0000 0.0000 0.1846 1
Se2 Se 0.0000 0.0000 0.3435 1
O1 O 0.3333 0.6667 0.0494 1